(1)
GdErAs after structural relaxation. Source: Alexandria via LeMat-Bulk, functional PBE-GGA.

Output
Energy relative to the lowest polymorph listed for this composition (eV/atom): 0.104
M_tot (Bohr magnetons per cell): 8.06
N(E_F) (states/eV/atom): 0.50

The structure in POSCAR format:
```
GdErAs
1.0
-3.5207 0.9777 -0.5774
0.2418 -1.1923 -3.4935
-0.0589 -5.0399 3.6747
As Er Gd
1 1 1
Direct
0.6095 0.6095 0.2190 As
0.9782 0.9782 0.9564 Er
0.2623 0.2623 0.5246 Gd
```

(2)
AlAg2Pt after structural relaxation. Source: Alexandria via LeMat-Bulk, functional PBE-GGA.

Output
Energy relative to the lowest polymorph listed for this composition (eV/atom): 0.129
M_tot (Bohr magnetons per cell): 0.00
N(E_F) (states/eV/atom): 0.30

The structure in POSCAR format:
```
AlAg2Pt
1.0
-0.7464 -1.7454 4.5948
1.9949 -2.0290 -0.4467
3.3840 2.7605 1.5984
Ag Al Pt
2 1 1
Direct
0.0000 0.4927 0.4981 Ag
0.0000 0.0073 0.0019 Ag
0.5000 0.2500 0.2500 Al
0.5000 0.7500 0.7500 Pt
```

(3)
La7Pd2Au2 after structural relaxation. Source: Alexandria via LeMat-Bulk, functional PBE-GGA.

Output
Calculated total energy (eV/cell): -56.02
M_tot (Bohr magnetons per cell): 0.00
N(E_F) (states/eV/atom): 1.29

The structure in POSCAR format:
```
La7Pd2Au2
1.0
6.9493 -0.0026 -0.9959
0.0033 7.3375 0.0032
-1.4269 -0.0025 6.8738
Au La Pd
2 7 2
Direct
0.1753 0.5000 0.1753 Au
0.8247 0.5000 0.8247 Au
0.4997 0.2779 0.0002 La
0.5002 0.7373 0.4998 La
0.5003 0.7221 0.9998 La
0.4998 0.2626 0.5002 La
0.0000 0.0000 0.0000 La
0.0002 0.7221 0.4997 La
0.9998 0.2779 0.5003 La
0.7100 0.0000 0.2900 Pd
0.2900 0.0000 0.7100 Pd
```